Record 1
Here is a relaxed LiSm2As4Pt3 crystal from Alexandria. Energies are from GGA-PBE.

Lattice parameters (Å, degrees): 4.1822 4.1822 11.0163 90.00 90.00 90.00
Space group P-4m2 (No. 115)
One atom of each set of equivalent atoms:
Li 0.0000 0.0000 0.0000 x1
Sm 0.0000 0.5000 0.7620 x2
As 0.0000 0.0000 0.5000 x1
As 0.0000 0.5000 0.1335 x2
As 0.5000 0.5000 0.5000 x1
Pt 0.0000 0.5000 0.3570 x2
Pt 0.5000 0.5000 0.0000 x1

## Properties
ΔE_f: -869 kJ/mol of formula units
Density: 10.28 g cm⁻³
E: -57.078 eV per formula unit
M_tot: 0.000 μB per cell

---

Record 2
Here is a relaxed SrLiAs2Pt5 crystal from Alexandria. Energies are from GGA-PBE.

Lattice parameters (Å, degrees): 4.1876 4.1876 10.2562 90.00 90.00 90.00
Space group P4/mmm (No. 123)
One atom of each set of equivalent atoms:
Sr 0.0000 0.0000 0.0000 x1
Li 0.0000 0.0000 0.5000 x1
As 0.5000 0.5000 0.2343 x2
Pt 0.0000 0.5000 0.3561 x4
Pt 0.5000 0.5000 0.0000 x1

## Properties
ΔE_f: -428 kJ/mol of formula units
Density: 11.26 g cm⁻³
E: -47.536 eV per formula unit
M_tot: 0.000 μB per cell

---

Record 3
Here is a relaxed Sr2LiAs3Pt4 crystal from Alexandria. Energies are from GGA-PBE.

Lattice parameters (Å, degrees): 4.4371 4.4371 10.1120 90.00 90.00 90.00
Space group P-4m2 (No. 115)
One atom of each set of equivalent atoms:
Sr 0.0000 0.5000 0.2478 x2
Li 0.5000 0.5000 0.0000 x1
As 0.0000 0.0000 0.0000 x1
As 0.0000 0.5000 0.6305 x2
Pt 0.0000 0.0000 0.5000 x1
Pt 0.0000 0.5000 0.8764 x2
Pt 0.5000 0.5000 0.5000 x1

## Properties
ΔE_f: -788 kJ/mol of formula units
Density: 9.90 g cm⁻³
E: -51.556 eV per formula unit
M_tot: 0.000 μB per cell

---

Record 4
Here is a relaxed LiTl2AsPt crystal from Alexandria. Energies are from GGA-PBE.

Lattice parameters (Å, degrees): 5.0117 5.0117 4.4891 90.00 90.00 90.00
Space group P4/mmm (No. 123)
One atom of each set of equivalent atoms:
Li 0.0000 0.0000 0.0000 x1
Tl 0.0000 0.5000 0.0000 x2
As 0.0000 0.0000 0.5000 x1
Pt 0.5000 0.5000 0.5000 x1

## Properties
ΔE_f: 208 kJ/mol of formula units
Density: 10.10 g cm⁻³
E: -15.182 eV per formula unit
M_tot: 0.000 μB per cell

---

Record 5
Here is a relaxed Li2TmAs2Pt2 crystal from Alexandria. Energies are from GGA-PBE.

Lattice parameters (Å, degrees): 4.2549 4.2549 23.0616 90.00 90.00 120.00
Space group R-3m (No. 166, hexagonal axes)
One atom of each set of equivalent atoms:
Li 0.0000 0.0000 0.1414 x6
Tm 0.0000 0.0000 0.0000 x3
As 0.0000 0.0000 0.2558 x6
Pt 0.0000 0.0000 0.4221 x6

## Properties
ΔE_f: -596 kJ/mol of formula units
Density: 9.96 g cm⁻³
E: -35.854 eV per formula unit
M_tot: 0.000 μB per cell

---

Record 6
Here is a relaxed LiTmAsPt crystal from Alexandria. Energies are from GGA-PBE.

Lattice parameters (Å, degrees): 6.6546 6.6546 6.6546 90.00 90.00 90.00
Space group F-43m (No. 216)
One atom of each set of equivalent atoms:
Li 0.0000 0.0000 0.0000 x4
Tm 0.0000 0.0000 0.5000 x4
As 0.2500 0.2500 0.7500 x4
Pt 0.2500 0.2500 0.2500 x4

## Properties
ΔE_f: -336 kJ/mol of formula units
Density: 10.05 g cm⁻³
E: -20.562 eV per formula unit
M_tot: 0.000 μB per cell